The following is a DFT calculation (PBE+U) of a relaxed structure of FeO.

Unit cell a=3.709 b=10.448 c=4.332 alpha=90.00 beta=90.00 gamma=90.00
Element x y z (fractional)
Fe (0.250, 0.096, 0.144)
Fe (0.250, 0.404, 0.144)
Fe (0.250, 0.750, 0.342)
Fe (0.750, 0.250, 0.658)
Fe (0.750, 0.596, 0.856)
Fe (0.750, 0.904, 0.856)
O (0.250, 0.250, 0.423)
O (0.250, 0.599, 0.039)
O (0.250, 0.901, 0.039)
O (0.750, 0.099, 0.961)
O (0.750, 0.401, 0.961)
O (0.750, 0.750, 0.577)

Output
electronic total energy: -6.560 eV/atom
SG: Pmmn